[1]
The following is a GGA-PBE calculation of a relaxed structure of AcMg2GaPd4, from Alexandria via LeMat-Bulk.

```
8
Lattice="2.221 1.282 9.096 -2.221 1.282 9.096 0.000 -2.565 9.096" Properties=species:S:1:pos:R:3 pbc="T T T"
Ac 0.000 0.000 0.000
Mg 0.000 0.000 6.387
Mg 0.000 0.000 20.902
Ga 0.000 0.000 13.644
Pd 0.000 0.000 3.670
Pd 0.000 0.000 11.054
Pd 0.000 0.000 16.235
Pd 0.000 0.000 23.619
```

Computed properties:
formation enthalpy at 0 K	-5.62	eV per formula unit
SG	R-3m


[2]
The following is a GGA-PBE calculation of a relaxed structure of SmReN4, from Alexandria via LeMat-Bulk.

```
12
Lattice="3.689 -3.287 0.000 3.689 3.287 0.000 0.000 0.000 7.673" Properties=species:S:1:pos:R:3 pbc="T T T"
Sm 3.689 2.549 5.755
Sm 3.689 -2.549 1.918
Re 3.689 0.758 1.918
Re 3.689 -0.758 5.755
N 3.689 1.874 0.452
N 3.689 1.874 3.384
N 2.253 0.342 5.755
N 2.253 -0.342 1.918
N 5.125 0.342 5.755
N 5.125 -0.342 1.918
N 3.689 -1.874 4.288
N 3.689 -1.874 7.221
```

Computed properties:
raw formation energy	-0.042	eV/atom
SG	Cmcm


Spin magnetization, respectively: 0.00; 3.78 μB per cell.
Raw total energy, respectively: -36.717; -101.436 eV per cell.